# 1
The following is a PBE calculation of a geometry-optimized Pr2Nd2Th15 structure, from Alexandria via LeMat-Bulk.

Cell and atoms, written as POSCAR:
```
Pr2Nd2Th15
1.0
5.785 3.340 5.727
-5.785 3.340 5.727
0.000 -6.680 5.727
Pr Nd Th
2 2 15
Direct
0.103 0.103 0.103
0.897 0.897 0.897
0.354 0.354 0.354
0.646 0.646 0.646
0.000 0.000 0.500
0.000 0.312 0.688
0.000 0.500 0.000
0.000 0.688 0.312
0.179 0.658 0.658
0.312 0.000 0.688
0.312 0.688 0.000
0.342 0.342 0.821
0.342 0.821 0.342
0.500 0.000 0.000
0.658 0.179 0.658
0.658 0.658 0.179
0.688 0.000 0.312
0.688 0.312 0.000
0.821 0.342 0.342
```

Properties
volume = 34.9 Å³/atom
ΔE_f = 0.2718 eV/atom
spin magnetization = 0.0 Bohr magnetons per cell

---

# 2
The following is a PBE calculation of a geometry-optimized Pr4Nd2Th structure, from Alexandria via LeMat-Bulk.

Cell and atoms, written as POSCAR:
```
Pr4Nd2Th
1.0
3.044 -11.774 0.000
3.044 11.774 0.000
0.000 0.000 3.510
Pr Nd Th
4 2 1
Direct
0.076 0.924 0.000
0.367 0.633 0.500
0.633 0.367 0.500
0.924 0.076 0.000
0.215 0.785 0.500
0.785 0.215 0.500
0.500 0.500 0.000
```

Properties
distance to the lowest polymorph of the same formula = 0.0 meV per atom
volume = 35.9 Å³/atom
ΔE_f = 0.2243 eV/atom
spin magnetization = 0.0 Bohr magnetons per cell

---

# 3
The following is a PBE calculation of a geometry-optimized Pr5Nd4Th structure, from Alexandria via LeMat-Bulk.

Cell and atoms, written as POSCAR:
```
Pr5Nd4Th
1.0
3.684 0.000 0.000
0.000 3.684 0.000
0.000 0.000 26.308
Pr Nd Th
5 4 1
Direct
0.000 0.000 0.000
0.000 0.000 0.202
0.000 0.000 0.406
0.000 0.000 0.594
0.000 0.000 0.798
0.500 0.500 0.100
0.500 0.500 0.301
0.500 0.500 0.699
0.500 0.500 0.900
0.500 0.500 0.500
```

Properties
distance to the lowest polymorph of the same formula = 0.0 meV per atom
volume = 35.7 Å³/atom
ΔE_f = 0.0284 eV/atom
spin magnetization = 0.0 Bohr magnetons per cell